# Cs2TiTe4 (PBE, optimized geometry)
data_Cs2TiTe4
_cell_length_a 8.482
_cell_length_b 4.062
_cell_length_c 8.984
_cell_angle_alpha 90.00
_cell_angle_beta 108.89
_cell_angle_gamma 90.00
_symmetry_space_group_name_H-M 'P 1'
_symmetry_Int_Tables_number 1
loop_
_symmetry_equiv_pos_as_xyz
'x,y,z'
loop_
_atom_site_label
_atom_site_type_symbol
_atom_site_fract_x
_atom_site_fract_y
_atom_site_fract_z
Cs1 Cs 0.000 0.000 0.000
Cs2 Cs 0.388 0.000 0.644
Ti1 Ti 0.658 0.500 0.307
Te1 Te 0.028 0.500 0.406
Te2 Te 0.328 0.500 0.270
Te3 Te 0.608 0.000 0.089
Te4 Te 0.775 0.000 0.538
# DOS at the Fermi energy ... 2.01 states/eV/f.u.
# Polymorph energy (0 for the lowest one) ... 7 kJ/mol of formula units
# Space group ... No. 6

***

# Cs5Ti2Te6 (PBE, optimized geometry)
data_Cs5Ti2Te6
_cell_length_a 8.805
_cell_length_b 8.805
_cell_length_c 19.750
_cell_angle_alpha 100.37
_cell_angle_beta 100.37
_cell_angle_gamma 65.50
_symmetry_space_group_name_H-M 'P 1'
_symmetry_Int_Tables_number 1
loop_
_symmetry_equiv_pos_as_xyz
'x,y,z'
loop_
_atom_site_label
_atom_site_type_symbol
_atom_site_fract_x
_atom_site_fract_y
_atom_site_fract_z
Cs1 Cs 0.125 0.875 0.750
Cs2 Cs 0.182 0.702 0.001
Cs3 Cs 0.248 0.431 0.275
Cs4 Cs 0.298 0.818 0.499
Cs5 Cs 0.431 0.248 0.775
Cs6 Cs 0.569 0.752 0.225
Cs7 Cs 0.702 0.182 0.501
Cs8 Cs 0.752 0.569 0.725
Cs9 Cs 0.818 0.298 0.999
Cs10 Cs 0.875 0.125 0.250
Ti1 Ti 0.123 0.418 0.568
Ti2 Ti 0.418 0.123 0.068
Ti3 Ti 0.582 0.877 0.932
Ti4 Ti 0.877 0.582 0.432
Te1 Te 0.091 0.202 0.634
Te2 Te 0.155 0.292 0.434
Te3 Te 0.202 0.091 0.134
Te4 Te 0.292 0.155 0.934
Te5 Te 0.379 0.491 0.626
Te6 Te 0.491 0.379 0.126
Te7 Te 0.509 0.621 0.874
Te8 Te 0.621 0.509 0.374
Te9 Te 0.708 0.845 0.066
Te10 Te 0.798 0.909 0.866
Te11 Te 0.845 0.708 0.566
Te12 Te 0.909 0.798 0.366
# Space group ... No. 15

***

# CsTi2Te4 (PBE, optimized geometry)
data_CsTi2Te4
_cell_length_a 10.212
_cell_length_b 10.212
_cell_length_c 6.644
_cell_angle_alpha 107.72
_cell_angle_beta 107.72
_cell_angle_gamma 22.22
_symmetry_space_group_name_H-M 'P 1'
_symmetry_Int_Tables_number 1
loop_
_symmetry_equiv_pos_as_xyz
'x,y,z'
loop_
_atom_site_label
_atom_site_type_symbol
_atom_site_fract_x
_atom_site_fract_y
_atom_site_fract_z
Cs1 Cs 0.000 0.000 0.000
Ti1 Ti 0.250 0.250 0.256
Ti2 Ti 0.750 0.750 0.744
Te1 Te 0.160 0.160 0.505
Te2 Te 0.337 0.337 0.998
Te3 Te 0.663 0.663 0.002
Te4 Te 0.840 0.840 0.495
# DOS at the Fermi energy ... 4.54 states/eV/f.u.
# Polymorph energy (0 for the lowest one) ... 0 kJ/mol of formula units
# Space group ... No. 12

***

# CsTi2Te4 (PBE, optimized geometry)
data_CsTi2Te4
_cell_length_a 7.503
_cell_length_b 7.503
_cell_length_c 14.639
_cell_angle_alpha 90.00
_cell_angle_beta 90.00
_cell_angle_gamma 148.07
_symmetry_space_group_name_H-M 'P 1'
_symmetry_Int_Tables_number 1
loop_
_symmetry_equiv_pos_as_xyz
'x,y,z'
loop_
_atom_site_label
_atom_site_type_symbol
_atom_site_fract_x
_atom_site_fract_y
_atom_site_fract_z
Cs1 Cs 0.106 0.894 0.750
Cs2 Cs 0.894 0.106 0.250
Ti1 Ti 0.371 0.629 0.568
Ti2 Ti 0.371 0.629 0.932
Ti3 Ti 0.629 0.371 0.068
Ti4 Ti 0.629 0.371 0.432
Te1 Te 0.000 0.000 0.000
Te2 Te 0.000 0.000 0.500
Te3 Te 0.259 0.741 0.093
Te4 Te 0.259 0.741 0.407
Te5 Te 0.398 0.602 0.750
Te6 Te 0.602 0.398 0.250
Te7 Te 0.741 0.259 0.593
Te8 Te 0.741 0.259 0.907
# DOS at the Fermi energy ... 4.82 states/eV/f.u.
# Polymorph energy (0 for the lowest one) ... 113 kJ/mol of formula units
# Space group ... No. 63

***

# Cs2TiTe2 (PBE, optimized geometry)
data_Cs2TiTe2
_cell_length_a 9.458
_cell_length_b 9.458
_cell_length_c 9.458
_cell_angle_alpha 128.31
_cell_angle_beta 70.02
_cell_angle_gamma 136.19
_symmetry_space_group_name_H-M 'P 1'
_symmetry_Int_Tables_number 1
loop_
_symmetry_equiv_pos_as_xyz
'x,y,z'
loop_
_atom_site_label
_atom_site_type_symbol
_atom_site_fract_x
_atom_site_fract_y
_atom_site_fract_z
Cs1 Cs 0.146 0.165 0.311
Cs2 Cs 0.354 0.665 0.018
Cs3 Cs 0.646 0.335 0.982
Cs4 Cs 0.854 0.835 0.689
Ti1 Ti 0.250 0.750 0.500
Ti2 Ti 0.750 0.250 0.500
Te1 Te 0.100 0.683 0.782
Te2 Te 0.400 0.183 0.583
Te3 Te 0.600 0.817 0.417
Te4 Te 0.900 0.317 0.218
# DOS at the Fermi energy ... 3.70 states/eV/f.u.
# Space group ... No. 72

***

# CsTiTlTe3 (PBE, optimized geometry)
data_CsTiTlTe3
_cell_length_a 9.076
_cell_length_b 9.076
_cell_length_c 7.555
_cell_angle_alpha 95.24
_cell_angle_beta 95.24
_cell_angle_gamma 126.15
_symmetry_space_group_name_H-M 'P 1'
_symmetry_Int_Tables_number 1
loop_
_symmetry_equiv_pos_as_xyz
'x,y,z'
loop_
_atom_site_label
_atom_site_type_symbol
_atom_site_fract_x
_atom_site_fract_y
_atom_site_fract_z
Cs1 Cs 0.249 0.751 0.750
Cs2 Cs 0.751 0.249 0.250
Ti1 Ti 0.452 0.548 0.250
Ti2 Ti 0.548 0.452 0.750
Tl1 Tl 0.085 0.915 0.250
Tl2 Tl 0.915 0.085 0.750
Te1 Te 0.245 0.319 0.498
Te2 Te 0.292 0.708 0.250
Te3 Te 0.319 0.245 0.998
Te4 Te 0.681 0.755 0.002
Te5 Te 0.708 0.292 0.750
Te6 Te 0.755 0.681 0.502
# Space group ... No. 15

***

# CsTiTlTe2 (PBE, optimized geometry)
data_CsTiTlTe2
_cell_length_a 5.549
_cell_length_b 5.549
_cell_length_c 5.592
_cell_angle_alpha 90.00
_cell_angle_beta 90.00
_cell_angle_gamma 90.00
_symmetry_space_group_name_H-M 'P 1'
_symmetry_Int_Tables_number 1
loop_
_symmetry_equiv_pos_as_xyz
'x,y,z'
loop_
_atom_site_label
_atom_site_type_symbol
_atom_site_fract_x
_atom_site_fract_y
_atom_site_fract_z
Cs1 Cs 0.000 0.000 0.000
Ti1 Ti 0.500 0.500 0.500
Tl1 Tl 0.500 0.500 0.000
Te1 Te 0.000 0.500 0.500
Te2 Te 0.500 0.000 0.500
# DOS at the Fermi energy ... 3.25 states/eV/f.u.
# Space group ... No. 123

***

# Cs3Tm3TiTe8 (PBE, optimized geometry)
data_Cs3Tm3TiTe8
_cell_length_a 10.432
_cell_length_b 10.432
_cell_length_c 10.432
_cell_angle_alpha 49.28
_cell_angle_beta 49.28
_cell_angle_gamma 49.28
_symmetry_space_group_name_H-M 'P 1'
_symmetry_Int_Tables_number 1
loop_
_symmetry_equiv_pos_as_xyz
'x,y,z'
loop_
_atom_site_label
_atom_site_type_symbol
_atom_site_fract_x
_atom_site_fract_y
_atom_site_fract_z
Cs1 Cs 0.000 0.500 0.500
Cs2 Cs 0.500 0.000 0.500
Cs3 Cs 0.500 0.500 0.000
Tm1 Tm 0.000 0.000 0.500
Tm2 Tm 0.000 0.500 0.000
Tm3 Tm 0.500 0.000 0.000
Ti1 Ti 0.500 0.500 0.500
Te1 Te 0.230 0.230 0.230
Te2 Te 0.246 0.716 0.716
Te3 Te 0.284 0.284 0.754
Te4 Te 0.284 0.754 0.284
Te5 Te 0.716 0.246 0.716
Te6 Te 0.716 0.716 0.246
Te7 Te 0.754 0.284 0.284
Te8 Te 0.770 0.770 0.770
# DOS at the Fermi energy ... 0.29 states/eV/f.u.
# Space group ... No. 166

***

What did we get for E_form (uncorrected)? Answer: -0.6478 -1.0024 -0.8229 -0.6556 -0.8193 -0.6959 -0.4870 -1.1928 eV per atom, in the order shown.
What did we get for calculated total energy? Answer: -3.81 -4.00 -5.00 -4.83 -4.00 -4.12 -3.97 -4.46 eV/atom, in the order shown.